one:
Density functional theory data (GGA-PBE) for crystalline AcMgCd2 at its relaxed geometry.

Its total magnetization is 0.0 μB per formula unit.

Unit cell a=5.331 b=5.331 c=4.137 alpha=90.00 beta=90.00 gamma=90.00
Space group P4/mmm (No. 123)
Unique sites:
Ac (0.000, 0.000, 0.000) x1
Mg (0.500, 0.500, 0.000) x1
Cd (0.000, 0.500, 0.500) x2

***

two:
Density functional theory data (GGA-PBE) for crystalline AcMgCd2 at its relaxed geometry.

Its total magnetization is 0.0 μB per formula unit.

Unit cell a=7.791 b=5.053 c=11.412 alpha=90.00 beta=90.00 gamma=90.00
Space group Pnma (No. 62)
Unique sites:
Ac (0.208, 0.250, 0.167) x4
Mg (0.040, 0.750, 0.399) x4
Cd (0.086, 0.250, 0.852) x4
Cd (0.219, 0.750, 0.962) x4

***

three:
Density functional theory data (GGA-PBE) for crystalline AcMgCd2 at its relaxed geometry.

Its total magnetization is 0.0 μB per formula unit.

Unit cell a=3.788 b=3.788 c=7.720 alpha=90.00 beta=90.00 gamma=90.00
Space group P4/mmm (No. 123)
Unique sites:
Ac (0.000, 0.000, 0.000) x1
Mg (0.000, 0.000, 0.500) x1
Cd (0.500, 0.500, 0.296) x2

***

Which is most stable? The ranking, best first, is two, three, one.